5
Lattice="3.883 0.000 0.000 0.000 3.883 0.000 0.000 0.000 5.531" Properties=species:S:1:pos:R:3 comment="MgCdPO2 GGA-PBE relaxed" e_form_raw_mev_per_atom=-301.5 sg=P4/mmm energy_ev_per_atom=-3.869 e_above_lowest_polymorph_mev_per_atom=0 pbc="T T T"
Mg 0.000 0.000 0.000
Cd 1.941 1.941 2.765
P 0.000 0.000 2.765
O 0.000 1.941 0.000
O 1.941 0.000 0.000

---

10
Lattice="2.753 1.590 4.888 -2.753 1.590 4.888 0.000 -3.179 4.888" Properties=species:S:1:pos:R:3 comment="Mg2PaCdO6 GGA-PBE relaxed" e_form_raw_mev_per_atom=-2422.6 sg=R3 energy_ev_per_atom=-6.758 pbc="T T T"
Mg 0.000 0.000 0.000
Mg 0.000 0.000 7.311
Pa 0.000 0.000 10.362
Cd 0.000 0.000 3.142
O -1.832 0.168 6.333
O -0.924 -1.306 8.870
O 0.771 -1.671 6.333
O -0.669 1.453 8.870
O 1.061 1.503 6.333
O 1.593 -0.148 8.870

---

10
Lattice="2.817 1.626 4.948 -2.817 1.626 4.948 0.000 -3.252 4.948" Properties=species:S:1:pos:R:3 comment="MgCdPb2O6 GGA-PBE relaxed" e_form_raw_mev_per_atom=-1268.5 sg=R3 energy_ev_per_atom=-5.236 pbc="T T T"
Mg 0.000 0.000 0.000
Cd 0.000 0.000 7.634
Pb 0.000 0.000 4.378
Pb 0.000 0.000 11.703
O -0.830 -1.533 5.861
O -2.086 -0.211 8.421
O -0.913 1.486 5.861
O 1.226 -1.701 8.421
O 1.743 0.048 5.861
O 0.860 1.912 8.421

---

14
Lattice="-3.211 3.353 4.556 3.211 -3.353 4.556 3.211 3.353 -4.556" Properties=species:S:1:pos:R:3 comment="MgCdPbO4 GGA-PBE relaxed" e_form_raw_mev_per_atom=-1474.5 sg=Imma energy_ev_per_atom=-5.196 pbc="T T T"
Mg -1.606 1.676 2.278
Mg 1.606 1.676 2.278
Cd 3.211 1.676 -1.293
Cd 0.000 1.676 5.849
Pb 0.000 0.000 0.000
Pb 0.000 3.353 0.000
O 1.489 1.676 0.124
O 1.722 -1.676 4.680
O 0.000 0.240 2.152
O 3.211 0.240 2.404
O 0.000 3.112 2.152
O 3.211 3.112 2.404
O 1.489 5.029 -0.124
O 1.722 1.676 4.432